{"formula": "LiZrCu2", "functional": "PBE-GGA", "state": "relaxed", "cell": [[8.911, -0.050, -0.030], [8.446, 2.840, -0.030], [8.446, 1.357, 2.494]], "species": ["Cu", "Cu", "Li", "Zr"], "fractional_positions": [[0.996, 0.996, 0.996], [0.504, 0.504, 0.504], [0.250, 0.250, 0.250], [0.750, 0.750, 0.750]], "total_magnetization_mub_per_fu": 0.0, "dos_at_fermi_per_ev_fu": 2.29, "ef_kj_per_mol_fu": 54, "final_energy_ev_per_atom": -4.52}

***

{"formula": "LiZrCu", "functional": "PBE-GGA", "state": "relaxed", "cell": [[-0.935, -1.793, -3.874], [-2.254, -3.739, -0.190], [-4.115, 0.001, -1.472]], "species": ["Cu", "Li", "Zr"], "fractional_positions": [[0.000, 0.000, 0.000], [0.500, 0.500, 0.500], [0.750, 0.750, 0.750]], "total_magnetization_mub_per_fu": 0.0, "dos_at_fermi_per_ev_fu": 3.46, "relative_energy_kj_per_mol_fu": 189, "ef_kj_per_mol_fu": 207, "final_energy_ev_per_atom": -4.14}

***

{"formula": "Lu6Cu23", "functional": "PBE-GGA", "state": "relaxed", "cell": [[8.508, 0.000, 0.000], [4.254, 7.368, 0.000], [4.254, 2.456, 6.947]], "species": ["Lu", "Lu", "Lu", "Lu", "Lu", "Lu", "Cu", "Cu", "Cu", "Cu", "Cu", "Cu", "Cu", "Cu", "Cu", "Cu", "Cu", "Cu", "Cu", "Cu", "Cu", "Cu", "Cu", "Cu", "Cu", "Cu", "Cu", "Cu", "Cu"], "fractional_positions": [[0.714, 0.714, 0.286], [0.286, 0.714, 0.286], [0.714, 0.286, 0.286], [0.286, 0.286, 0.714], [0.714, 0.286, 0.714], [0.286, 0.714, 0.714], [0.000, 0.000, 0.000], [0.000, 0.000, 0.500], [0.500, 0.000, 0.500], [0.000, 0.500, 0.500], [0.500, 0.500, 0.000], [0.000, 0.500, 0.000], [0.500, 0.000, 0.000], [0.878, 0.878, 0.366], [0.878, 0.366, 0.878], [0.366, 0.878, 0.878], [0.878, 0.878, 0.878], [0.122, 0.122, 0.634], [0.122, 0.634, 0.122], [0.634, 0.122, 0.122], [0.122, 0.122, 0.122], [0.672, 0.672, 0.984], [0.672, 0.984, 0.672], [0.984, 0.672, 0.672], [0.672, 0.672, 0.672], [0.328, 0.328, 0.016], [0.328, 0.016, 0.328], [0.016, 0.328, 0.328], [0.328, 0.328, 0.328]], "total_magnetization_mub_per_fu": 0.0, "dos_at_fermi_per_ev_fu": 13.22, "ef_kj_per_mol_fu": -624, "final_energy_ev_per_atom": -4.41}

***

{"formula": "LuCu3", "functional": "PBE-GGA", "state": "relaxed", "cell": [[3.392, 0.000, 0.000], [0.000, 3.727, 0.000], [0.000, 0.000, 5.296]], "species": ["Lu", "Cu", "Cu", "Cu"], "fractional_positions": [[0.000, 0.500, 0.326], [0.000, 0.000, 0.904], [0.500, 0.000, 0.564], [0.500, 0.500, 0.873]], "total_magnetization_mub_per_fu": 0.0, "dos_at_fermi_per_ev_fu": 1.37, "ef_kj_per_mol_fu": -4, "final_energy_ev_per_atom": -4.21}

***

{"formula": "LuCu2", "functional": "PBE-GGA", "state": "relaxed", "cell": [[4.235, -0.004, -0.003], [2.110, 4.915, -0.309], [2.110, 0.735, 4.870]], "species": ["Lu", "Lu", "Cu", "Cu", "Cu", "Cu"], "fractional_positions": [[0.454, 0.297, 0.797], [0.546, 0.703, 0.203], [0.164, 0.284, 0.387], [0.836, 0.716, 0.613], [0.164, 0.887, 0.784], [0.836, 0.113, 0.216]], "total_magnetization_mub_per_fu": 0.0, "dos_at_fermi_per_ev_fu": 1.39, "ef_kj_per_mol_fu": -87, "final_energy_ev_per_atom": -4.54}

***

{"formula": "LuMgCu2", "functional": "PBE-GGA", "state": "relaxed", "cell": [[3.293, 0.000, 0.000], [0.000, 3.293, 0.000], [0.000, 0.000, 6.556]], "species": ["Mg", "Lu", "Cu", "Cu"], "fractional_positions": [[0.500, 0.500, 0.000], [0.500, 0.500, 0.500], [0.000, 0.000, 0.763], [0.000, 0.000, 0.237]], "total_magnetization_mub_per_fu": 0.0, "dos_at_fermi_per_ev_fu": 1.90, "ef_kj_per_mol_fu": -71, "final_energy_ev_per_atom": -3.76}

***

{"formula": "LuMg2Cu", "functional": "PBE-GGA", "state": "relaxed", "cell": [[3.141, 0.000, 0.000], [1.570, 2.720, 0.000], [1.570, 0.907, 10.449]], "species": ["Mg", "Mg", "Lu", "Cu"], "fractional_positions": [[0.102, 0.102, 0.695], [0.898, 0.898, 0.305], [0.000, 0.000, 0.000], [0.500, 0.500, 0.500]], "total_magnetization_mub_per_fu": 0.0, "dos_at_fermi_per_ev_fu": 2.12, "ef_kj_per_mol_fu": 95, "final_energy_ev_per_atom": -2.71}

***

{"formula": "LuMg2Cu", "functional": "PBE-GGA", "state": "relaxed", "cell": [[3.284, 0.000, 0.000], [0.000, 3.284, 0.000], [0.000, 0.000, 7.741]], "species": ["Mg", "Mg", "Lu", "Cu"], "fractional_positions": [[0.000, 0.000, 0.805], [0.000, 0.000, 0.195], [0.500, 0.500, 0.500], [0.500, 0.500, 0.000]], "total_magnetization_mub_per_fu": 0.0, "dos_at_fermi_per_ev_fu": 2.94, "ef_kj_per_mol_fu": -13, "final_energy_ev_per_atom": -2.99}